{"formula": "Li2B2Se5", "functional": "SCAN", "state": "PBEsol geometry", "final_energy_ev_per_fu": -125.6, "space_group": "C2/c (15)", "lattice": [[-3.508, -3.749, -1.055], [0.347, -2.478, -5.365], [5.987, -10.031, 2.717]], "species": ["Li", "Li", "Li", "Li", "Se", "Se", "Se", "Se", "Se", "Se", "Se", "Se", "Se", "Se", "B", "B", "B", "B"], "frac_coords": [[0.112, 0.677, 0.067], [0.855, 0.823, 0.433], [0.888, 0.323, 0.933], [0.145, 0.177, 0.567], [0.758, 0.250, 0.750], [0.604, 0.070, 0.061], [0.923, 0.346, 0.159], [0.396, 0.930, 0.939], [0.266, 0.570, 0.561], [0.734, 0.430, 0.439], [0.572, 0.846, 0.659], [0.242, 0.750, 0.250], [0.077, 0.654, 0.841], [0.428, 0.154, 0.341], [0.412, 0.574, 0.707], [0.692, 0.926, 0.793], [0.588, 0.426, 0.293], [0.308, 0.074, 0.207]]}

{"formula": "YAl2Ni", "functional": "SCAN", "state": "PBEsol geometry", "final_energy_ev_per_fu": -61.2, "space_group": "Cmcm (63)", "lattice": [[-2.131, 0.256, -3.998], [0.885, -4.234, 1.372], [-6.723, -0.248, 3.567]], "species": ["Ni", "Ni", "Al", "Al", "Al", "Al", "Y", "Y"], "frac_coords": [[0.083, 0.917, 0.250], [0.917, 0.083, 0.750], [0.825, 0.175, 0.048], [0.175, 0.825, 0.952], [0.825, 0.175, 0.452], [0.175, 0.825, 0.548], [0.467, 0.533, 0.250], [0.533, 0.467, 0.750]]}

{"formula": "YInRe", "functional": "SCAN", "state": "PBEsol geometry", "space_group": "P3m1 (156)", "de_polymorph_mev_per_atom": 85.0, "lattice": [[2.918, 0.000, 0.000], [0.000, 4.895, 0.000], [0.000, -2.447, 4.239]], "species": ["Y", "In", "Re"], "frac_coords": [[0.334, 0.667, 0.333], [0.835, 0.000, 0.000], [0.831, 0.333, 0.667]]}